An optimized crystal structure of MnTlCrTcF. Source: Alexandria, functional PBE+U.

Spin magnetization   1.427 μB/atom
Energy relative to the lowest polymorph listed for this composition   79.8 meV/atom

Cell and atoms, written as CIF:
```
data_MnTlCrTcF
_chemical_formula_sum 'Mn2 Tl2 Cr2 Tc2 F2'
_symmetry_space_group_name_H-M 'C 1 m 1'
_symmetry_Int_Tables_number 8
_cell_length_a 10.9133
_cell_length_b 3.0391
_cell_length_c 5.5345
_cell_angle_alpha 90.00
_cell_angle_beta 104.62
_cell_angle_gamma 90.00
loop_
_symmetry_equiv_pos_as_xyz
'x,y,z'
'x,-y,z'
'x+1/2,y+1/2,z'
'x+1/2,-y+1/2,z'
loop_
_atom_site_label
_atom_site_type_symbol
_atom_site_fract_x
_atom_site_fract_y
_atom_site_fract_z
Mn1 Mn 0.0000 0.0000 0.0000
Tl1 Tl 0.2475 0.5000 0.1838
Cr1 Cr 0.1827 0.0000 0.6408
Tc1 Tc 0.4874 0.0000 0.4037
F1 F 0.3903 0.0000 0.7417
```